Computed, not measured: an optimized crystal structure of Tb5PmPr at the PBE level of DFT. Values from VASP.

```
&SYSTEM
  ibrav = 0, nat = 7, ntyp = 3
/
ATOMIC_SPECIES
Tb 158.93 Tb.upf
Pm 145.00 Pm.upf
Pr 140.91 Pr.upf
CELL_PARAMETERS angstrom
-2.896 4.353 5.937
2.896 -4.353 5.937
2.896 4.353 -5.937
ATOMIC_POSITIONS crystal
Tb 0.000 0.000 0.000
Tb 0.248 0.748 0.500
Tb 0.322 0.500 0.822
Tb 0.678 0.500 0.178
Tb 0.752 0.252 0.500
Pm 0.500 0.000 0.500
Pr 0.000 0.500 0.500
```

The space-group type is Immm, No. 71. The calculation puts the spin magnetization at 0.0 Bohr magnetons per cell. The value obtained for the density is 5.993 g/cm3. For the energy above the lowest structure with this stoichiometry, the calculation gives 0.875 eV per atom. The formation enthalpy at 0 K is 1.06 eV per atom.